The following is a DFT calculation (PBE) of a relaxed structure of Ca2SmErTe4.

- Raw formation energy: -1.46 eV/atom
- Final energy: -37.5 eV for the cell shown

```
Ca2SmErTe4
1.0
4.404 0.000 0.000
0.000 7.631 0.129
0.000 -2.671 7.314
Ca Sm Er Te
2 1 1 4
Direct
0.500 0.000 0.500
0.000 0.500 0.500
0.000 0.000 0.000
0.500 0.500 0.000
0.500 0.255 0.249
0.500 0.745 0.751
0.000 0.257 0.755
0.000 0.743 0.245
```